Here is a relaxed structure of PrTcN2 from Alexandria via LeMat-Bulk. Energies are from PBE.

Values from the calculation:
The energy above the most stable polymorph in this dataset comes out at 0 meV/atom. The theoretical density is 8.31 g/cm3. The calculated total energy comes out at -8.61 eV per atom. As for the symmetry: No. 62. The volume is 213.4 Å³ per cell. The formation energy (no corrections) comes out at -0.657 eV per atom.

Lattice parameters (Å, degrees): 3.3425 5.8865 10.8436 90.00 90.00 90.00
With the nearest neighbours (Å) after each atom.
Positions (direct):
N: 0.2500 0.7702 0.5128  3 Tc 2.05-2.13
N: 0.2500 0.2702 0.9872  3 Tc 2.05-2.13
N: 0.2500 0.8374 0.2518  2 Tc 2.14-2.38
N: 0.7500 0.1626 0.7482  2 Tc 2.14-2.38
N: 0.2500 0.3374 0.2482  2 Tc 2.14-2.38
N: 0.7500 0.2298 0.4872  3 Tc 2.05-2.13
N: 0.7500 0.6626 0.7518  2 Tc 2.14-2.38
N: 0.7500 0.7298 0.0128  3 Tc 2.05-2.13
Tc: 0.7500 0.9398 0.5917  4 N 2.05-2.14
Tc: 0.2500 0.0602 0.4083  4 N 2.05-2.14
Tc: 0.2500 0.5602 0.0917  4 N 2.05-2.14
Tc: 0.7500 0.4398 0.9083  4 N 2.05-2.14
Pr: 0.2500 0.4189 0.6470  7 N 2.48-2.65
Pr: 0.7500 0.5811 0.3530  7 N 2.48-2.65
Pr: 0.7500 0.0811 0.1470  7 N 2.48-2.65
Pr: 0.2500 0.9189 0.8530  7 N 2.48-2.65